The following is a PBE-GGA calculation of a relaxed Ta2Hg crystal, from Alexandria.

abc: 5.544 5.544 5.544
angles: 60.00 60.00 60.00
Positions (direct):
Ta1 0.000 0.000 0.000
Ta2 0.000 0.000 0.500
Ta3 0.000 0.500 0.000
Ta4 0.500 0.000 0.000
Hg1 0.375 0.375 0.375
Hg2 0.625 0.625 0.625

Summary:
theoretical density	15.5	g/cm3
formation enthalpy at 0 K	0.57	eV per atom
magnetic moment	0.00	μB per formula unit
Fermi-level density of states	4.84	states/eV/cell
SG	Fd-3m
V	121	Å³/cell
crystal system	cubic